LiZnNi14 PBE optimized geometry; SG = No. 38; Fermi-level density of states = 22.81 states/eV/cell; DFT formation energy = -25.2 meV per atom
1.0
8.180 0.000 0.000
0.000 2.494 4.323
0.000 -2.494 4.323
Li Zn Ni
1 1 14
direct
0.000 0.000 0.000
0.000 0.500 0.500
0.000 0.002 0.501
0.000 0.501 0.002
0.249 0.667 0.667
0.250 0.167 0.167
0.253 0.164 0.666
0.253 0.666 0.164
0.500 0.332 0.332
0.500 0.333 0.833
0.500 0.832 0.832
0.500 0.833 0.333
0.747 0.164 0.666
0.747 0.666 0.164
0.750 0.167 0.167
0.751 0.667 0.667